w) SrIrSe2 | PBE | optimized geometry

Properties
The density of states at the Fermi level is 5.20 states/eV per cell.

Cell lengths 4.7948, 4.7948, 4.7948 Å; angles 70.44, 70.44, 70.44 degrees
Positions (direct):
Sr 0.5000 0.5000 0.5000
Se 0.2200 0.2200 0.2200
Se 0.7800 0.7800 0.7800
Ir 0.0000 0.0000 0.0000

---

x) SrIrSe2 | PBE | optimized geometry

Properties
The density of states at the Fermi level is 2.22 states/eV per cell.

Cell lengths 3.8195, 3.8195, 6.2805 Å; angles 90.00, 90.00, 90.00 degrees
Positions (direct):
Se 0.5000 0.5000 0.2633
Sr 0.0000 0.0000 0.4492
Ir 0.5000 0.5000 0.8619
Se 0.0000 0.0000 0.9257

---

y) SrIrSe2 | PBE | optimized geometry

Properties
The density of states at the Fermi level is 5.62 states/eV per cell.

Cell lengths 4.9832, 4.9832, 4.9832 Å; angles 60.00, 60.00, 60.00 degrees
Positions (direct):
Se 0.2500 0.2500 0.2500
Sr 0.7500 0.7500 0.7500
Ir 0.5000 0.5000 0.5000
Se 0.0000 0.0000 0.0000

---

z) SrIrSe2 | PBE | optimized geometry

Properties
The density of states at the Fermi level is 3.48 states/eV per cell.

Cell lengths 3.4132, 4.9078, 4.9078 Å; angles 90.00, 90.00, 90.00 degrees
Positions (direct):
Se 0.0000 0.0000 0.0000
Ir 0.5000 0.0000 0.5000
Sr 0.5000 0.5000 0.0000
Se 0.0000 0.5000 0.5000

---

Ordering by calculated energy gives the sequence x), w), z), y), with the first entry being the most stable.

---

w) SrIrSe2 | PBE | optimized geometry

Properties
The density of states at the Fermi level is 3.69 states/eV per cell.

Cell lengths 3.4553, 3.4553, 7.1352 Å; angles 90.00, 90.00, 90.00 degrees
Positions (direct):
Se 0.0000 0.0000 0.5443
Sr 0.5000 0.5000 0.2500
Se 0.0000 0.0000 0.9557
Ir 0.5000 0.5000 0.7500

---

x) SrIrSe2 | PBE | optimized geometry

Properties
The density of states at the Fermi level is 3.41 states/eV per cell.

Cell lengths 3.4219, 3.4219, 8.6288 Å; angles 90.00, 90.00, 90.00 degrees
Positions (direct):
Se 0.0000 0.0000 0.8949
Sr 0.0000 0.0000 0.5126
Ir 0.5000 0.5000 0.8001
Se 0.5000 0.5000 0.2924

---

Ordering by calculated energy gives the sequence x), w), with the first entry being the most stable.

---

w) SrIrSe2 | PBE | optimized geometry

Properties
The density of states at the Fermi level is 1.42 states/eV per cell.

Cell lengths 3.8968, 5.0652, 5.0697 Å; angles 77.52, 90.00, 90.00 degrees
Positions (direct):
Sr 0.5000 0.2500 0.2500
Ir 0.5000 0.7500 0.7500
Se 0.0000 0.9418 0.9417
Se 0.0000 0.5582 0.5583

---

x) SrIrSe2 | PBE | optimized geometry

Properties
The density of states at the Fermi level is 2.44 states/eV per cell.

Cell lengths 6.0059, 6.0059, 7.8333 Å; angles 67.46, 67.46, 90.00 degrees
Positions (direct):
Se 0.0403 0.6250 0.2500
Se 0.3750 0.2903 0.7500
Se 0.7097 0.1250 0.2500
Ir 0.7500 0.2500 0.5000
Sr 0.5000 0.5000 0.0000
Sr 0.2500 0.7500 0.5000
Se 0.8750 0.9597 0.7500
Ir 0.0000 0.0000 0.0000

---

Ordering by calculated energy gives the sequence w), x), with the first entry being the most stable.

---

w) Sr2IrSe2 | PBE | optimized geometry

Properties
The density of states at the Fermi level is 9.47 states/eV per cell.

Cell lengths 8.3892, 8.3892, 3.9735 Å; angles 90.00, 90.00, 90.00 degrees
Positions (direct):
Se 0.3413 0.1587 0.5000
Sr 0.1505 0.3495 0.0000
Ir 0.0000 0.0000 0.0000
Sr 0.6505 0.1505 0.0000
Se 0.1587 0.6587 0.5000
Ir 0.5000 0.5000 0.0000
Sr 0.3495 0.8495 0.0000
Sr 0.8495 0.6505 0.0000
Se 0.6587 0.8413 0.5000
Se 0.8413 0.3413 0.5000

---

x) Sr2IrSe2 | PBE | optimized geometry

Properties
The density of states at the Fermi level is 1.78 states/eV per cell.

Cell lengths 3.9005, 3.9005, 9.1276 Å; angles 77.66, 77.66, 90.00 degrees
Positions (direct):
Se 0.7500 0.2500 0.5000
Sr 0.4004 0.4004 0.1991
Ir 0.0000 0.0000 0.0000
Se 0.2500 0.7500 0.5000
Sr 0.5996 0.5996 0.8009

---

Ordering by calculated energy gives the sequence x), w), with the first entry being the most stable.

---

w) TaIrSe2 | PBE | optimized geometry

Properties
The density of states at the Fermi level is 2.28 states/eV per cell.

Cell lengths 5.7518, 5.7518, 5.7518 Å; angles 149.12, 134.60, 55.91 degrees
Positions (direct):
Ta 0.4839 0.4839 0.0000
Se 0.7355 0.2355 0.5000
Se 0.0247 0.0247 0.0000
Ir 0.2559 0.7559 0.5000

---

x) TaIrSe2 | PBE | optimized geometry

Properties
The density of states at the Fermi level is 4.16 states/eV per cell.

Cell lengths 4.6235, 4.6235, 4.6235 Å; angles 60.00, 60.00, 60.00 degrees
Positions (direct):
Ir 0.5000 0.5000 0.5000
Se 0.2500 0.2500 0.2500
Se 0.0000 0.0000 0.0000
Ta 0.7500 0.7500 0.7500

---

Ordering by calculated energy gives the sequence w), x), with the first entry being the most stable.

---

w) TaIrSe2 | PBE | optimized geometry

Cell lengths 4.0076, 4.0076, 7.3995 Å; angles 105.27, 105.27, 60.03 degrees
Positions (direct):
Ir 0.8481 0.8481 0.5421
Se 0.9644 0.9644 0.9002
Ta 0.5627 0.5627 0.6901
Se 0.1249 0.1249 0.3677

---

x) TaIrSe2 | PBE | optimized geometry

Properties
The density of states at the Fermi level is 6.52 states/eV per cell.

Cell lengths 5.7546, 5.7546, 6.8591 Å; angles 65.20, 65.20, 90.00 degrees
Positions (direct):
Se 0.6357 0.1250 0.2500
Ir 0.7500 0.2500 0.5000
Ta 0.5000 0.5000 0.0000
Ir 0.0000 0.0000 0.0000
Ta 0.2500 0.7500 0.5000
Se 0.8750 0.8857 0.7500
Se 0.1143 0.6250 0.2500
Se 0.3750 0.3643 0.7500

---

Ordering by calculated energy gives the sequence w), x), with the first entry being the most stable.

---

w) TaIrSe2 | PBE | optimized geometry

Properties
The density of states at the Fermi level is 2.37 states/eV per cell.

Cell lengths 3.0332, 3.0332, 8.2346 Å; angles 90.00, 90.00, 90.00 degrees
Positions (direct):
Se 0.5000 0.5000 0.3138
Se 0.0000 0.0000 0.9421
Ta 0.0000 0.0000 0.5050
Ir 0.5000 0.5000 0.7390

---

x) TaIrSe2 | PBE | optimized geometry

Properties
The density of states at the Fermi level is 3.57 states/eV per cell.

Cell lengths 8.5951, 8.5951, 8.5951 Å; angles 21.54, 21.54, 21.54 degrees
Positions (direct):
Se 0.9051 0.9051 0.9051
Se 0.0949 0.0949 0.0949
Ir 0.0000 0.0000 0.0000
Ta 0.5000 0.5000 0.5000

---

y) TaIrSe2 | PBE | optimized geometry

Properties
The density of states at the Fermi level is 3.50 states/eV per cell.

Cell lengths 7.0554, 7.0554, 7.0554 Å; angles 149.67, 146.67, 45.68 degrees
Positions (direct):
Se 0.1142 0.1142 0.0000
Ir 0.2500 0.7500 0.5000
Ta 0.7500 0.2500 0.5000
Se 0.3858 0.3858 0.0000

---

z) TaIrSe2 | PBE | optimized geometry

Properties
The density of states at the Fermi level is 2.86 states/eV per cell.

Cell lengths 5.1491, 4.0877, 4.0850 Å; angles 81.63, 70.19, 109.83 degrees
Positions (direct):
Ta 0.5000 0.5000 0.0000
Ir 0.5000 0.0000 0.5000
Se 0.0000 0.5000 0.5000
Se 0.0000 0.0000 0.0000

---

Ordering by calculated energy gives the sequence y), w), x), z), with the first entry being the most stable.

---

w) TaIrSe3 | PBE | optimized geometry

Properties
The density of states at the Fermi level is 6.87 states/eV per cell.

Cell lengths 3.4495, 12.7083, 12.5752 Å; angles 90.00, 90.00, 90.00 degrees
Positions (direct):
Se 0.7500 0.6573 0.2263
Ta 0.7500 0.2055 0.7056
Se 0.2500 0.8427 0.7263
Se 0.2500 0.6492 0.9361
Ir 0.7500 0.4619 0.2289
Ta 0.2500 0.7945 0.2944
Se 0.2500 0.9230 0.1408
Ir 0.2500 0.5381 0.7711
Se 0.7500 0.1573 0.2737
Ta 0.7500 0.7055 0.7944
Ta 0.2500 0.2945 0.2056
Se 0.7500 0.3508 0.0639
Ir 0.2500 0.0381 0.7289
Se 0.7500 0.8508 0.4361
Se 0.7500 0.5770 0.6408
Se 0.7500 0.0770 0.8592
Se 0.2500 0.1492 0.5639
Se 0.2500 0.3427 0.7737
Ir 0.7500 0.9619 0.2711
Se 0.2500 0.4230 0.3592

---

x) TaIrSe3 | PBE | optimized geometry

Properties
The density of states at the Fermi level is 5.55 states/eV per cell.

Cell lengths 4.8047, 4.8047, 4.8047 Å; angles 90.00, 90.00, 90.00 degrees
Positions (direct):
Ir 0.0000 0.0000 0.0000
Se 0.5000 0.0000 0.0000
Se 0.0000 0.0000 0.5000
Ta 0.5000 0.5000 0.5000
Se 0.0000 0.5000 0.0000

---

y) TaIrSe3 | PBE | optimized geometry

Properties
The density of states at the Fermi level is 10.74 states/eV per cell.

Cell lengths 4.9684, 4.9684, 4.9684 Å; angles 90.00, 90.00, 90.00 degrees
Positions (direct):
Ta 0.0000 0.0000 0.0000
Se 0.0000 0.0000 0.5000
Se 0.0000 0.5000 0.0000
Ir 0.5000 0.5000 0.5000
Se 0.5000 0.0000 0.0000

---

Ordering by calculated energy gives the sequence w), y), x), with the first entry being the most stable.

---

w) TcIrSe | PBE | optimized geometry

Properties
The density of states at the Fermi level is 3.53 states/eV per cell.

Cell lengths 4.1753, 4.1753, 3.0682 Å; angles 90.00, 90.00, 120.00 degrees
Positions (direct):
Ir 0.0000 0.0000 0.0453
Se 0.3333 0.6667 0.3946
Tc 0.6667 0.3333 0.5601

---

x) TcIrSe | PBE | optimized geometry

Properties
The density of states at the Fermi level is 2.76 states/eV per cell.

Cell lengths 2.9077, 2.9077, 6.3439 Å; angles 90.00, 90.00, 120.00 degrees
Positions (direct):
Se 0.6667 0.3333 0.3528
Tc 0.3333 0.6667 0.6592
Ir 0.0000 0.0000 0.9880

---

y) TcIrSe | PBE | optimized geometry

Properties
The density of states at the Fermi level is 4.51 states/eV per cell.

Cell lengths 2.9416, 2.9416, 12.5766 Å; angles 90.00, 90.00, 120.00 degrees
Positions (direct):
Tc 0.4436 0.8872 0.5000
Tc 0.4453 0.8907 0.0000
Ir 0.1120 0.2239 0.8394
Se 0.7769 0.5538 0.6489
Ir 0.1120 0.2239 0.1606
Se 0.7769 0.5538 0.3511

---

z) TcIrSe | PBE | optimized geometry

Properties
The density of states at the Fermi level is 4.48 states/eV per cell.

Cell lengths 4.2275, 4.2275, 4.2275 Å; angles 60.00, 60.00, 60.00 degrees
Positions (direct):
Tc 0.7500 0.7500 0.7500
Ir 0.0000 0.0000 0.0000
Se 0.5000 0.5000 0.5000

---

Ordering by calculated energy gives the sequence y), x), z), w), with the first entry being the most stable.

---

w) TcIrSe | PBE | optimized geometry

Properties
The density of states at the Fermi level is 3.22 states/eV per cell.

Cell lengths 5.8882, 5.8882, 5.8882 Å; angles 151.24, 151.24, 41.12 degrees
Positions (direct):
Tc 0.6681 0.6681 0.0000
Ir 0.0139 0.0139 0.0000
Se 0.3179 0.3179 0.0000

---

x) TcIrSe | PBE | optimized geometry

Properties
The density of states at the Fermi level is 2.23 states/eV per cell.

Cell lengths 7.6401, 7.3804, 2.7905 Å; angles 84.59, 74.09, 21.32 degrees
Positions (direct):
Se 0.3263 0.3263 0.6737
Ir 0.0118 0.0118 0.9882
Tc 0.6619 0.6619 0.3381

---

Ordering by calculated energy gives the sequence w), x), with the first entry being the most stable.